! Ni2RuRh2 PBE relaxed; values from VASP
&SYSTEM
  ibrav = 0, nat = 5, ntyp = 3
/
ATOMIC_SPECIES
Ni 58.69 Ni.upf
Ru 101.07 Ru.upf
Rh 102.91 Rh.upf
ATOMIC_POSITIONS crystal
Ni 0.333 0.667 0.408
Ni 0.667 0.333 0.592
Ru 0.000 0.000 0.000
Rh 0.333 0.667 0.792
Rh 0.667 0.333 0.208
CELL_PARAMETERS angstrom
2.667 0.000 0.000
-1.333 2.309 0.000
0.000 0.000 10.613
! space group	P-3m1, No. 164
! DFT formation energy	0.073	eV per atom
! polymorph energy (0 for the lowest one)	0	meV/atom